# 1
Here is a relaxed Cu3Ag17 crystal from OQMD via LeMat-Bulk. Energies are from GGA-PBE.

Lattice parameters (Å, degrees): 6.466 7.653 13.856 94.70 90.11 90.06
Fractional coordinates of all 40 atoms:
Cu (0.000, 0.000, 0.000)
Cu (0.006, 0.752, 0.255)
Cu (0.306, 0.049, 0.855)
Cu (0.604, 0.096, 0.707)
Cu (0.610, 0.854, 0.955)
Cu (0.805, 0.806, 0.611)
Ag (0.003, 0.504, 0.510)
Ag (0.100, 0.096, 0.201)
Ag (0.101, 0.850, 0.459)
Ag (0.103, 0.343, 0.953)
Ag (0.105, 0.604, 0.707)
Ag (0.202, 0.201, 0.407)
Ag (0.202, 0.456, 0.155)
Ag (0.209, 0.953, 0.661)
Ag (0.216, 0.715, 0.906)
Ag (0.302, 0.555, 0.355)
Ag (0.303, 0.803, 0.105)
Ag (0.308, 0.297, 0.607)
Ag (0.394, 0.141, 0.048)
Ag (0.397, 0.901, 0.306)
Ag (0.405, 0.391, 0.805)
Ag (0.414, 0.652, 0.558)
Ag (0.503, 0.250, 0.252)
Ag (0.505, 0.505, 0.005)
Ag (0.510, 0.997, 0.511)
Ag (0.513, 0.764, 0.759)
Ag (0.606, 0.348, 0.454)
Ag (0.614, 0.605, 0.206)
Ag (0.694, 0.187, 0.903)
Ag (0.704, 0.452, 0.658)
Ag (0.707, 0.949, 0.149)
Ag (0.710, 0.703, 0.407)
Ag (0.804, 0.297, 0.100)
Ag (0.804, 0.555, 0.859)
Ag (0.806, 0.045, 0.352)
Ag (0.899, 0.144, 0.560)
Ag (0.907, 0.404, 0.304)
Ag (0.908, 0.661, 0.054)
Ag (0.908, 0.904, 0.808)
Ag (0.998, 0.248, 0.757)

Properties
Total DFT energy (no corrections) in eV per atom: -2.915
E_form in eV per atom: 0.043



# 2
Here is a relaxed ScAgSnSe2S crystal from OQMD via LeMat-Bulk. Energies are from GGA-PBE.

Lattice parameters (Å, degrees): 6.988 6.988 10.097 90.00 90.00 146.97
Fractional coordinates of all 12 atoms:
Sc (0.000, 0.000, 0.000)
Sc (0.000, 0.000, 0.500)
Ag (0.464, 0.536, 0.750)
Ag (0.536, 0.464, 0.250)
Sn (0.264, 0.736, 0.250)
Sn (0.736, 0.264, 0.750)
Se (0.358, 0.642, 0.539)
Se (0.358, 0.642, 0.961)
Se (0.642, 0.358, 0.039)
Se (0.642, 0.358, 0.461)
S (0.084, 0.916, 0.750)
S (0.916, 0.084, 0.250)

Properties
Total moment in μB/atom: 0.001
Total DFT energy (no corrections) in eV per atom: -4.857



# 3
Here is a relaxed Sc4ZnSnN2 crystal from OQMD via LeMat-Bulk. Energies are from GGA-PBE.

Lattice parameters (Å, degrees): 3.256 3.256 14.272 90.00 90.00 120.00
Fractional coordinates of all 8 atoms:
Sc (0.000, 0.000, 0.159)
Sc (0.000, 0.000, 0.841)
Sc (0.667, 0.333, 0.329)
Sc (0.667, 0.333, 0.671)
Zn (0.667, 0.333, 0.000)
Sn (0.000, 0.000, 0.500)
N (0.333, 0.667, 0.247)
N (0.333, 0.667, 0.753)

Properties
Total moment in μB/atom: 0.016
Total DFT energy (no corrections) in eV per atom: -7.058



# 4
Here is a relaxed ScInAu2 crystal from OQMD via LeMat-Bulk. Energies are from GGA-PBE.

Lattice parameters (Å, degrees): 3.487 3.487 6.627 90.00 90.00 90.00
Fractional coordinates of all 4 atoms:
Sc (0.000, 0.000, 0.000)
In (0.000, 0.000, 0.500)
Au (0.500, 0.500, 0.228)
Au (0.500, 0.500, 0.772)

Properties
Total moment in μB/atom: 0.002
Total DFT energy (no corrections) in eV per atom: -4.475